1.
Computed, not measured: a relaxed BaLi2Hf2 crystal at the PBE-GGA level of DFT.

The calculation puts the total magnetization at 0.000 μB/cell. Its formation energy is 0.55 eV per atom. The calculation puts the calculated total energy at -45.8 eV per cell.

The structure belongs to space group I4/mmm (No. 139); the cell edges are 4.0968, 4.0968 and 16.7245 Å and the angles 90.00°, 90.00° and 90.00°. The inequivalent atoms are Ba at (0.0000, 0.0000, 0.0000), Li at (0.0000, 0.0000, 0.3867) and Hf at (0.0000, 0.5000, 0.2500).

***

2.
Computed, not measured: a relaxed BaLi2Hf crystal at the PBE-GGA level of DFT.

The calculation puts the total magnetization at 2.485 μB/cell. Its formation energy is 0.80 eV per atom. The calculation puts the calculated total energy at -50.0 eV per cell.

The structure belongs to space group I-42d (No. 122); the cell edges are 8.3426, 8.3426 and 6.5175 Å and the angles 90.00°, 90.00° and 90.00°. The inequivalent atoms are Ba at (0.0000, 0.0000, 0.0000), Li at (0.2244, 0.2500, 0.6250) and Hf at (0.0000, 0.0000, 0.5000).

***

3.
Computed, not measured: a relaxed Ba2LiHfPd crystal at the PBE-GGA level of DFT.

The calculation puts the total magnetization at 2.586 μB/cell. Its formation energy is 1.05 eV per atom. The calculation puts the calculated total energy at -15.7 eV per cell.

The structure belongs to space group P4/mmm (No. 123); the cell edges are 6.2411, 6.2411 and 5.0510 Å and the angles 90.00°, 90.00° and 90.00°. The inequivalent atoms are Ba at (0.0000, 0.5000, 0.0000), Li at (0.0000, 0.0000, 0.5000), Hf at (0.0000, 0.0000, 0.0000) and Pd at (0.5000, 0.5000, 0.5000).

***

4.
Computed, not measured: a relaxed Ba2LiHfS crystal at the PBE-GGA level of DFT.

The calculation puts the total magnetization at 0.007 μB/cell. The uncorrected formation energy is -150 kJ/mol of formula units. The calculation puts the calculated total energy at -21.4 eV per cell.

The structure belongs to space group P4/mmm (No. 123); the cell edges are 6.2478, 6.2478 and 4.8432 Å and the angles 90.00°, 90.00° and 90.00°. The inequivalent atoms are Ba at (0.0000, 0.5000, 0.0000), Li at (0.0000, 0.0000, 0.5000), Hf at (0.5000, 0.5000, 0.5000) and S at (0.5000, 0.5000, 0.0000).

***

5.
Computed, not measured: a relaxed Ba2LiHfTe5 crystal at the PBE-GGA level of DFT.

The calculation puts the total magnetization at 0.000 μB/cell. The uncorrected formation energy is -991 kJ/mol of formula units. The calculation puts the calculated total energy at -166.8 eV per cell.

The structure belongs to space group Cmc2_1 (No. 36); the cell edges are 4.4627, 20.3139 and 13.8163 Å and the angles 90.00°, 90.00° and 90.00°. The inequivalent atoms are Ba at (0.0000, 0.1131, 0.0000), Ba at (0.0000, 0.1268, 0.6224), Li at (0.0000, 0.4347, 0.7486), Hf at (0.0000, 0.2006, 0.3276), Te at (0.0000, 0.0635, 0.3612), Te at (0.0000, 0.2865, 0.9677), Te at (0.0000, 0.3037, 0.6846), Te at (0.0000, 0.3438, 0.3153) and Te at (0.0000, 0.4966, 0.0781).

***

6.
Computed, not measured: a relaxed BaLiHfW2 crystal at the PBE-GGA level of DFT.

The calculation puts the total magnetization at 0.456 μB/cell. Its formation energy is 2.47 eV per atom. The calculation puts the calculated total energy at -27.3 eV per cell.

The structure belongs to space group P4/mmm (No. 123); the cell edges are 5.1538, 5.1538 and 4.2617 Å and the angles 90.00°, 90.00° and 90.00°. The inequivalent atoms are Ba at (0.0000, 0.0000, 0.0000), Li at (0.0000, 0.0000, 0.5000), Hf at (0.5000, 0.5000, 0.5000) and W at (0.0000, 0.5000, 0.0000).